Record 1
Here is an optimized crystal structure of Pr4Sm5Ho from Alexandria. Energies are from PBE.

Cell lengths 3.5956, 11.3517, 8.9581 Å; angles 89.77, 101.82, 89.96 degrees
Sites, in units of the cell vectors:
1 Sm 0.8270 0.4450 0.6522
2 Sm 0.1730 0.9481 0.3457
3 Sm 0.5000 0.5000 0.0000
4 Sm 0.1730 0.5550 0.3478
5 Sm 0.8270 0.0519 0.6543
6 Pr 0.0339 0.7515 0.0605
7 Pr 0.9661 0.2485 0.9395
8 Pr 0.6558 0.2502 0.3103
9 Pr 0.3442 0.7498 0.6897
10 Ho 0.5000 0.0000 0.0000

Values from the calculation:
* electronic total energy: -4.5550 eV per atom
* energy above the most stable polymorph in this dataset: 0 meV/atom
* crystal system: triclinic

***

Record 2
Here is an optimized crystal structure of Pr3SmHo12 from Alexandria. Energies are from PBE.

Cell lengths 5.0417, 5.0417, 20.1795 Å; angles 90.00, 90.00, 90.00 degrees
Sites, in units of the cell vectors:
1 Ho 0.0000 0.5000 0.3745
2 Ho 0.5000 0.5000 0.5000
3 Ho 0.0000 0.5000 0.1238
4 Ho 0.5000 0.0000 0.6255
5 Ho 0.5000 0.0000 0.8762
6 Ho 0.5000 0.5000 0.7510
7 Ho 0.5000 0.5000 0.0000
8 Ho 0.0000 0.5000 0.8762
9 Ho 0.5000 0.0000 0.1238
10 Ho 0.5000 0.5000 0.2490
11 Ho 0.5000 0.0000 0.3745
12 Ho 0.0000 0.5000 0.6255
13 Pr 0.0000 0.0000 0.2494
14 Pr 0.0000 0.0000 0.5000
15 Pr 0.0000 0.0000 0.7506
16 Sm 0.0000 0.0000 0.0000

Values from the calculation:
* electronic total energy: -4.6012 eV per atom
* crystal system: tetragonal

***

Record 3
Here is an optimized crystal structure of PrSm3Ho from Alexandria. Energies are from PBE.

Cell lengths 7.4616, 10.8278, 6.2721 Å; angles 115.53, 126.50, 89.99 degrees
Sites, in units of the cell vectors:
1 Sm 0.3063 0.4055 0.6127
2 Sm 0.7126 0.7548 0.0095
3 Sm 0.2969 0.7548 0.0095
4 Sm 0.6937 0.5945 0.3873
5 Sm 0.7031 0.2452 0.9905
6 Sm 0.2874 0.2452 0.9905
7 Pr 0.0000 0.0000 0.0000
8 Pr 0.0000 0.5000 0.0000
9 Ho 0.6912 0.0980 0.3824
10 Ho 0.3088 0.9020 0.6176

Values from the calculation:
* electronic total energy: -4.5180 eV per atom
* energy above the most stable polymorph in this dataset: 168 meV/atom
* crystal system: monoclinic

***

Record 4
Here is an optimized crystal structure of Pr6SmHo4 from Alexandria. Energies are from PBE.

Cell lengths 6.8452, 6.8452, 9.6067 Å; angles 110.87, 110.87, 90.00 degrees
Sites, in units of the cell vectors:
1 Pr 0.5138 0.5138 0.6437
2 Pr 0.0000 0.5000 0.0000
3 Pr 0.1300 0.1300 0.6437
4 Pr 0.8700 0.4862 0.3563
5 Pr 0.5000 0.0000 0.0000
6 Pr 0.4862 0.8700 0.3563
7 Ho 0.7097 0.0595 0.7692
8 Ho 0.9405 0.9405 0.2308
9 Ho 0.0595 0.7097 0.7692
10 Ho 0.2903 0.2903 0.2308
11 Sm 0.5000 0.5000 0.0000

Values from the calculation:
* electronic total energy: -4.4000 eV per atom
* energy above the most stable polymorph in this dataset: 16 meV/atom
* crystal system: tetragonal

***

Record 5
Here is an optimized crystal structure of Pr6SmHo2 from Alexandria. Energies are from PBE.

Cell lengths 8.3360, 8.3360, 10.5889 Å; angles 90.00, 90.00, 90.00 degrees
Sites, in units of the cell vectors:
1 Ho 0.5000 0.5000 0.1649
2 Ho 0.0000 0.0000 0.3351
3 Ho 0.5000 0.5000 0.8351
4 Ho 0.0000 0.0000 0.6649
5 Pr 0.7611 0.2389 0.8336
6 Pr 0.7386 0.7386 0.0000
7 Pr 0.7389 0.7389 0.6664
8 Pr 0.7389 0.7389 0.3336
9 Pr 0.2611 0.2611 0.3336
10 Pr 0.2389 0.7611 0.1664
11 Pr 0.2389 0.7611 0.8336
12 Pr 0.2611 0.2611 0.6664
13 Pr 0.2386 0.7614 0.5000
14 Pr 0.7614 0.2386 0.5000
15 Pr 0.7611 0.2389 0.1664
16 Pr 0.2614 0.2614 0.0000
17 Sm 0.0000 0.0000 0.0000
18 Sm 0.5000 0.5000 0.5000

Values from the calculation:
* electronic total energy: -4.1382 eV per atom
* energy above the most stable polymorph in this dataset: 534 meV/atom
* crystal system: tetragonal

***

Record 6
Here is an optimized crystal structure of Pr4Sm8Ho from Alexandria. Energies are from PBE.

Cell lengths 11.2484, 11.2484, 7.9146 Å; angles 90.00, 135.28, 120.00 degrees
Last column: magnetic moment on the atom in μB.
Sites, in units of the cell vectors:
1 Pr 0.5000 0.5000 0.0000  0.16
2 Pr 0.5000 0.0000 0.0000  0.16
3 Pr 0.0000 0.5000 0.0000  0.16
4 Pr 0.0000 0.0000 0.0000  -0.05
5 Sm 0.5251 0.7626 0.7693  0.06
6 Sm 0.5234 0.7617 0.2851  0.06
7 Sm 0.9932 0.7558 0.2307  0.06
8 Sm 0.9932 0.2374 0.2307  0.06
9 Sm 0.4749 0.2374 0.2307  0.06
10 Sm 0.0068 0.2442 0.7693  0.06
11 Sm 0.0068 0.7625 0.7693  0.06
12 Sm 0.4766 0.2383 0.7149  0.06
13 Ho 0.0000 0.5000 0.5000  0.05

Values from the calculation:
* electronic total energy: -4.2377 eV per atom
* crystal system: trigonal

***

Record 7
Here is an optimized crystal structure of Pr3Sm6Ho from Alexandria. Energies are from PBE.

Cell lengths 6.8263, 9.2307, 6.7452 Å; angles 105.55, 120.40, 90.00 degrees
Sites, in units of the cell vectors:
1 Sm 0.3749 0.0817 0.7497
2 Sm 0.4293 0.3030 0.3761
3 Sm 0.6251 0.9183 0.2503
4 Sm 0.0531 0.6970 0.6239
5 Sm 0.9469 0.3030 0.3761
6 Sm 0.5707 0.6970 0.6239
7 Ho 0.5000 0.5000 0.0000
8 Pr 0.9247 0.3304 0.8495
9 Pr 0.0753 0.6696 0.1505
10 Pr 0.0000 0.0000 0.0000

Values from the calculation:
* electronic total energy: -4.5025 eV per atom
* energy above the most stable polymorph in this dataset: 81 meV/atom
* crystal system: monoclinic

***

Record 8
Here is an optimized crystal structure of Pr8SmHo6 from Alexandria. Energies are from PBE.

Cell lengths 6.5731, 9.5220, 9.5220 Å; angles 120.00, 90.00, 90.00 degrees
Sites, in units of the cell vectors:
1 Ho 0.6616 0.6544 0.0966
2 Ho 0.3384 0.5578 0.6544
3 Ho 0.3384 0.0966 0.4422
4 Ho 0.6616 0.4422 0.3456
5 Ho 0.3384 0.3456 0.9034
6 Ho 0.6616 0.9034 0.5578
7 Sm 0.5000 0.0000 0.0000
8 Pr 0.1720 0.7529 0.0405
9 Pr 0.1720 0.2875 0.2471
10 Pr 0.1720 0.9595 0.7125
11 Pr 0.8280 0.0405 0.2875
12 Pr 0.8280 0.7125 0.7529
13 Pr 0.1253 0.6667 0.3333
14 Pr 0.8747 0.3333 0.6667
15 Pr 0.8280 0.2471 0.9595

Values from the calculation:
* electronic total energy: -4.5165 eV per atom
* energy above the most stable polymorph in this dataset: 20 meV/atom
* crystal system: trigonal

***

Record 9
Here is an optimized crystal structure of PrSm4Ho5 from Alexandria. Energies are from PBE.

Cell lengths 3.5469, 11.1525, 8.7937 Å; angles 90.20, 101.65, 90.03 degrees
Sites, in units of the cell vectors:
1 Sm 0.9697 0.2529 0.9406
2 Sm 0.6538 0.2498 0.3094
3 Sm 0.0303 0.7471 0.0594
4 Sm 0.3462 0.7502 0.6906
5 Ho 0.8259 0.0541 0.6500
6 Ho 0.5000 0.5000 0.0000
7 Ho 0.8271 0.4516 0.6537
8 Ho 0.1729 0.5484 0.3463
9 Ho 0.1741 0.9459 0.3500
10 Pr 0.5000 0.0000 0.0000

Values from the calculation:
* electronic total energy: -4.4615 eV per atom
* energy above the most stable polymorph in this dataset: 0 meV/atom
* crystal system: monoclinic

***

Record 10
Here is an optimized crystal structure of Pr16Sm6Ho7 from Alexandria. Energies are from PBE.

Cell lengths 11.4142, 11.4142, 11.4142 Å; angles 60.00, 60.00, 60.00 degrees
Sites, in units of the cell vectors:
1 Pr 0.6228 0.1257 0.1257
2 Pr 0.6497 0.0508 0.6497
3 Pr 0.3503 0.9492 0.3503
4 Pr 0.6497 0.6497 0.6497
5 Pr 0.1257 0.1257 0.1257
6 Pr 0.1257 0.6228 0.1257
7 Pr 0.1257 0.1257 0.6228
8 Pr 0.3503 0.3503 0.3503
9 Pr 0.0508 0.6497 0.6497
10 Pr 0.9492 0.3503 0.3503
11 Pr 0.3503 0.3503 0.9492
12 Pr 0.8743 0.8743 0.3772
13 Pr 0.8743 0.8743 0.8743
14 Pr 0.3772 0.8743 0.8743
15 Pr 0.6497 0.6497 0.0508
16 Pr 0.8743 0.3772 0.8743
17 Ho 0.0000 0.5000 0.5000
18 Ho 0.0000 0.5000 0.0000
19 Ho 0.5000 0.0000 0.5000
20 Ho 0.5000 0.0000 0.0000
21 Ho 0.0000 0.0000 0.5000
22 Ho 0.5000 0.5000 0.0000
23 Ho 0.0000 0.0000 0.0000
24 Sm 0.7330 0.2670 0.2670
25 Sm 0.7330 0.7330 0.2670
26 Sm 0.2670 0.7330 0.2670
27 Sm 0.7330 0.2670 0.7330
28 Sm 0.2670 0.7330 0.7330
29 Sm 0.2670 0.2670 0.7330

Values from the calculation:
* electronic total energy: -4.5199 eV per atom
* crystal system: cubic

***

Record 11
Here is an optimized crystal structure of PrSm2Ho4 from Alexandria. Energies are from PBE.

Cell lengths 6.1048, 6.6132, 11.7478 Å; angles 90.00, 106.11, 90.00 degrees
Sites, in units of the cell vectors:
1 Pr 0.8247 0.2500 0.8637
2 Pr 0.1753 0.7500 0.1363
3 Sm 0.2937 0.2500 0.4512
4 Sm 0.3867 0.2500 0.9882
5 Sm 0.6133 0.7500 0.0118
6 Sm 0.7063 0.7500 0.5488
7 Ho 0.6339 0.0084 0.2899
8 Ho 0.6339 0.4916 0.2899
9 Ho 0.3661 0.5084 0.7101
10 Ho 0.8603 0.2500 0.5781
11 Ho 0.9787 0.7500 0.8333
12 Ho 0.1397 0.7500 0.4219
13 Ho 0.0213 0.2500 0.1667
14 Ho 0.3661 0.9916 0.7101

Values from the calculation:
* electronic total energy: -4.5256 eV per atom
* energy above the most stable polymorph in this dataset: 82 meV/atom
* crystal system: monoclinic

***

Record 12
Here is an optimized crystal structure of Pr2SmHo9 from Alexandria. Energies are from PBE.

Cell lengths 3.5070, 11.2838, 11.2838 Å; angles 120.00, 90.00, 90.00 degrees
Sites, in units of the cell vectors:
1 Sm 0.0000 0.0000 0.0000
2 Ho 0.5000 0.1743 0.3487
3 Ho 0.5000 0.3487 0.1743
4 Ho 0.5000 0.6513 0.8257
5 Ho 0.5000 0.1743 0.8257
6 Ho 0.0000 0.0000 0.5000
7 Ho 0.0000 0.5000 0.5000
8 Ho 0.5000 0.8257 0.1743
9 Ho 0.5000 0.8257 0.6513
10 Ho 0.0000 0.5000 0.0000
11 Pr 0.0000 0.3333 0.6667
12 Pr 0.0000 0.6667 0.3333

Values from the calculation:
* electronic total energy: -4.5539 eV per atom
* energy above the most stable polymorph in this dataset: 46 meV/atom
* crystal system: hexagonal

***

Record 13
Here is an optimized crystal structure of Pr5Sm2Ho2 from Alexandria. Energies are from PBE.

Cell lengths 13.0526, 6.2830, 10.5448 Å; angles 107.33, 128.24, 90.00 degrees
Sites, in units of the cell vectors:
1 Ho 0.8133 0.3801 0.7276
2 Ho 0.5857 0.1525 0.2724
3 Ho 0.4143 0.8801 0.7276
4 Ho 0.1867 0.6525 0.2724
5 Pr 0.6714 0.8673 0.7125
6 Pr 0.9247 0.1734 0.5000
7 Pr 0.3286 0.1548 0.2875
8 Pr 0.4589 0.6548 0.2875
9 Pr 0.8506 0.7113 0.0967
10 Pr 0.2539 0.1146 0.9033
11 Pr 0.0753 0.6734 0.5000
12 Pr 0.5411 0.3673 0.7125
13 Pr 0.7461 0.2113 0.0967
14 Pr 0.1494 0.6146 0.9033
15 Sm 0.0000 0.0841 0.0000
16 Sm 0.8077 0.6980 0.5000
17 Sm 0.5000 0.5841 0.0000
18 Sm 0.1923 0.1980 0.5000

Values from the calculation:
* electronic total energy: -4.5609 eV per atom
* energy above the most stable polymorph in this dataset: 143 meV/atom
* crystal system: orthorhombic

***

Record 14
Here is an optimized crystal structure of Pr4Sm4Ho from Alexandria. Energies are from PBE.

Cell lengths 5.1789, 8.1645, 9.6537 Å; angles 53.83, 74.46, 71.58 degrees
Sites, in units of the cell vectors:
1 Sm 0.6098 0.4483 0.3320
2 Sm 0.3902 0.5517 0.6680
3 Sm 0.9453 0.7754 0.3341
4 Sm 0.0547 0.2246 0.6659
5 Pr 0.2782 0.1097 0.3336
6 Pr 0.1649 0.6704 0.9995
7 Pr 0.7218 0.8903 0.6664
8 Pr 0.8351 0.3296 0.0005
9 Ho 0.5000 0.0000 0.0000

Values from the calculation:
* electronic total energy: -4.7143 eV per atom
* crystal system: triclinic

***

Record 15
Here is an optimized crystal structure of PrSm8Ho6 from Alexandria. Energies are from PBE.

Cell lengths 9.0964, 9.0964, 8.7078 Å; angles 58.51, 58.51, 60.00 degrees
Sites, in units of the cell vectors:
1 Ho 0.2456 0.5364 0.1184
2 Ho 0.0996 0.2456 0.1184
3 Ho 0.4636 0.9004 0.8816
4 Ho 0.5364 0.0996 0.1184
5 Ho 0.7544 0.4636 0.8816
6 Ho 0.9004 0.7544 0.8816
7 Sm 0.2519 0.2817 0.5786
8 Sm 0.8878 0.2519 0.5786
9 Sm 0.7183 0.1122 0.4214
10 Sm 0.4228 0.4228 0.7316
11 Sm 0.2817 0.8878 0.5786
12 Sm 0.7481 0.7183 0.4214
13 Sm 0.1122 0.7481 0.4214
14 Sm 0.5772 0.5772 0.2684
15 Pr 0.0000 0.0000 0.0000

Values from the calculation:
* electronic total energy: -4.5359 eV per atom
* crystal system: trigonal

***

Record 16
Here is an optimized crystal structure of Pr4SmHo6 from Alexandria. Energies are from PBE.

Cell lengths 7.7738, 7.7738, 8.5423 Å; angles 117.07, 117.07, 90.00 degrees
Sites, in units of the cell vectors:
1 Ho 0.5635 0.5635 0.6329
2 Ho 0.0695 0.0695 0.6329
3 Ho 0.9305 0.4365 0.3671
4 Ho 0.4365 0.9305 0.3671
5 Ho 0.5000 0.0000 0.0000
6 Ho 0.0000 0.5000 0.0000
7 Pr 0.0996 0.7478 0.8473
8 Pr 0.2522 0.2522 0.1527
9 Pr 0.9004 0.9004 0.1527
10 Pr 0.7478 0.0996 0.8473
11 Sm 0.5000 0.5000 0.0000

Values from the calculation:
* electronic total energy: -4.2101 eV per atom
* energy above the most stable polymorph in this dataset: 154 meV/atom
* crystal system: tetragonal

***

Record 17
Here is an optimized crystal structure of Pr12SmHo6 from Alexandria. Energies are from PBE.

Cell lengths 8.7386, 8.7386, 8.7386 Å; angles 88.87, 88.87, 88.87 degrees
Sites, in units of the cell vectors:
1 Sm 0.0000 0.0000 0.0000
2 Pr 0.8064 0.6360 0.9816
3 Pr 0.6360 0.9816 0.8064
4 Pr 0.4330 0.7826 0.5355
5 Pr 0.5355 0.4330 0.7826
6 Pr 0.9816 0.8064 0.6360
7 Pr 0.7826 0.5355 0.4330
8 Pr 0.1936 0.3640 0.0184
9 Pr 0.2174 0.4645 0.5670
10 Pr 0.0184 0.1936 0.3640
11 Pr 0.4645 0.5670 0.2174
12 Pr 0.5670 0.2174 0.4645
13 Pr 0.3640 0.0184 0.1936
14 Ho 0.9001 0.2959 0.7416
15 Ho 0.7416 0.9001 0.2959
16 Ho 0.2584 0.0999 0.7041
17 Ho 0.7041 0.2584 0.0999
18 Ho 0.0999 0.7041 0.2584
19 Ho 0.2959 0.7416 0.9001

Values from the calculation:
* electronic total energy: -4.5855 eV per atom
* energy above the most stable polymorph in this dataset: 0 meV/atom
* crystal system: trigonal

***

Record 18
Here is an optimized crystal structure of PrSm3Ho7 from Alexandria. Energies are from PBE.

Cell lengths 5.5384, 9.9863, 8.9004 Å; angles 105.48, 128.45, 90.02 degrees
Sites, in units of the cell vectors:
1 Ho 0.9200 0.8305 0.9200
2 Ho 0.1463 0.2886 0.6464
3 Ho 0.3217 0.6406 0.8217
4 Ho 0.5000 0.0000 0.5000
5 Ho 0.0800 0.1695 0.0800
6 Ho 0.8537 0.7114 0.3536
7 Ho 0.6783 0.3594 0.1783
8 Pr 0.5000 0.5000 0.5000
9 Sm 0.0000 0.5000 0.0000
10 Sm 0.7189 0.0018 0.2183
11 Sm 0.2811 0.9982 0.7817

Values from the calculation:
* electronic total energy: -4.4881 eV per atom
* energy above the most stable polymorph in this dataset: 0 meV/atom
* crystal system: monoclinic

***

Computed ΔH_f (0 K) (eV per atom) in order:
0.17 0.02 0.18 0.30 0.59 0.49 0.22 0.18 0.19 0.20 0.12 0.07 0.16 0.02 0.13 0.45 0.13 0.15